(1)
ScIn2Tc after structural relaxation, computed with PBE.

a = 4.7929 Å, b = 4.7929 Å, c = 4.7929 Å
α = 60.00°, β = 60.00°, γ = 60.00°
Last column: nearest neighbours and their distance in Å.
Positions (direct):
In 0.0000 0.0000 0.0000  4 Tc 2.94, 4 In 2.94
In 0.2500 0.2500 0.2500  4 In 2.94, 4 Sc 2.94
Sc 0.5000 0.5000 0.5000  4 In 2.94, 4 Tc 2.94
Tc 0.7500 0.7500 0.7500  4 Sc 2.94, 4 In 2.94

## Properties
- E_form (eV/atom) = 0.110
- spin magnetization (μB/f.u.) = 0.00
- VASP energy (Ry per atom) = -0.399
- relative energy among the computed polymorphs (meV/atom) = 226

---

(2)
LiLaMg2Au2 after structural relaxation, computed with PBE.

a = 4.4747 Å, b = 4.4747 Å, c = 8.1537 Å
α = 105.93°, β = 105.93°, γ = 90.00°
Last column: nearest neighbours and their distance in Å.
Positions (direct):
Li 0.0000 0.0000 0.0000  2 Au 2.28
La 0.5000 0.5000 0.0000  4 Li 3.16
Mg 0.2500 0.7500 0.5000  4 Au 2.68
Mg 0.7500 0.2500 0.5000  4 Au 2.68
Au 0.8483 0.8483 0.6967  1 Li 2.28
Au 0.1517 0.1517 0.3033  1 Li 2.28

## Properties
- E_form (eV/atom) = -0.214
- spin magnetization (μB/f.u.) = 0.12
- VASP energy (Ry per atom) = -0.219

---

(3)
BaNaHg3 after structural relaxation, computed with PBE.

a = 6.4703 Å, b = 6.9228 Å, c = 7.8160 Å
α = 116.29°, β = 97.89°, γ = 90.00°
Last column: nearest neighbours and their distance in Å.
Positions (direct):
Ba 0.2166 0.3793 0.7585  9 Hg 3.49-3.86
Ba 0.7834 0.6207 0.2415  9 Hg 3.49-3.86
Na 0.0000 0.0000 0.0000  6 Hg 3.09-3.13, 2 Na 3.24
Na 0.5000 0.0000 0.0000  6 Hg 3.03-3.10, 2 Na 3.24
Hg 0.6983 0.6012 0.7124  2 Hg 3.07-3.39, 2 Na 3.10-3.13
Hg 0.6983 0.1113 0.7124  2 Hg 3.07-3.39, 2 Na 3.10-3.13
Hg 0.1967 0.8125 0.6250  2 Na 3.03-3.09, 2 Hg 3.07
Hg 0.8033 0.1875 0.3750  2 Na 3.03-3.09, 2 Hg 3.07
Hg 0.3017 0.8887 0.2876  2 Hg 3.07-3.39, 2 Na 3.10-3.13
Hg 0.3017 0.3988 0.2876  2 Hg 3.07-3.39, 2 Na 3.10-3.13

## Properties
- E_form (eV/atom) = -0.336
- spin magnetization (μB/f.u.) = 0.00
- VASP energy (Ry per atom) = -0.086
- relative energy among the computed polymorphs (meV/atom) = 40

---

(4)
Cs5RbCl6 after structural relaxation, computed with PBE.

a = 8.5854 Å, b = 8.5854 Å, c = 8.5868 Å
α = 99.61°, β = 99.61°, γ = 119.98°
Last column: nearest neighbours and their distance in Å.
Positions (direct):
Cs 0.8328 0.1672 0.5000  6 Cl 3.50-3.58
Cs 0.6664 0.3336 0.0000  6 Cl 3.51-3.52
Cs 0.5000 0.5000 0.5000  6 Cl 3.50-3.60
Cs 0.3336 0.6664 0.0000  6 Cl 3.51-3.52
Cs 0.1672 0.8328 0.5000  6 Cl 3.50-3.58
Rb 0.0000 0.0000 0.0000  6 Cl 3.42
Cl 0.4068 0.0818 0.2455  1 Rb 3.42, 5 Cs 3.50-3.58
Cl 0.9182 0.5932 0.7545  1 Rb 3.42, 5 Cs 3.50-3.58
Cl 0.2429 0.2429 0.7559  1 Rb 3.42, 5 Cs 3.51-3.60
Cl 0.7571 0.7571 0.2441  1 Rb 3.42, 5 Cs 3.51-3.60
Cl 0.0818 0.4068 0.2455  1 Rb 3.42, 5 Cs 3.50-3.58
Cl 0.5932 0.9182 0.7545  1 Rb 3.42, 5 Cs 3.50-3.58

## Properties
- spin magnetization (μB/f.u.) = 0.30
- VASP energy (Ry per atom) = -0.244
- energy relative to the elements, uncorrected (eV per atom) = -1.960

---

(5)
Ba2UTe6Au after structural relaxation, computed with PBE.

a = 8.2965 Å, b = 9.5353 Å, c = 10.1869 Å
α = 90.00°, β = 90.00°, γ = 90.00°
Last column: nearest neighbours and their distance in Å.
Positions (direct):
Ba 0.5000 0.8377 0.2181  7 Te 3.60-3.79
Ba 0.0000 0.1623 0.7181  7 Te 3.60-3.79
Ba 0.5000 0.8377 0.7819  7 Te 3.60-3.79
Ba 0.0000 0.1623 0.2819  7 Te 3.60-3.79
U 0.5000 0.2160 0.5000  6 Te 2.86-2.98
U 0.0000 0.7840 0.0000  6 Te 2.86-2.98
Te 0.5000 0.2150 0.2161  1 Au 2.74, 1 U 2.89
Te 0.5000 0.2150 0.7839  1 Au 2.74, 1 U 2.89
Te 0.0000 0.7850 0.2839  1 Au 2.74, 1 U 2.89
Te 0.0000 0.7850 0.7161  1 Au 2.74, 1 U 2.89
Te 0.2689 0.9772 0.5000  1 U 2.98
Te 0.7311 0.9772 0.5000  1 U 2.98
Te 0.2367 0.4103 0.5000  1 Au 2.77, 1 U 2.86
Te 0.7633 0.4103 0.5000  1 Au 2.77, 1 U 2.86
Te 0.7367 0.5897 0.0000  1 Au 2.77, 1 U 2.86
Te 0.2633 0.5897 0.0000  1 Au 2.77, 1 U 2.86
Te 0.2311 0.0228 0.0000  1 U 2.98
Te 0.7689 0.0228 0.0000  1 U 2.98
Au 0.0000 0.6146 0.5000  4 Te 2.74-2.77
Au 0.5000 0.3854 0.0000  4 Te 2.74-2.77

## Properties
- spin magnetization (μB/f.u.) = 0.00
- VASP energy (Ry per atom) = -0.330
- energy relative to the elements, uncorrected (eV per atom) = -0.762

---

(6)
SrAlPd after structural relaxation, computed with PBE.

a = 4.7562 Å, b = 4.3303 Å, c = 4.3303 Å
α = 120.00°, β = 90.00°, γ = 90.00°
Last column: nearest neighbours and their distance in Å.
Positions (direct):
Sr 0.6667 0.3333 0.6667  6 Pd 3.45, 6 Al 3.45
Al 0.1667 0.6667 0.3333  3 Pd 2.50
Pd 0.1667 0.0000 0.0000  3 Al 2.50

## Properties
- E_form (eV/atom) = -0.584
- spin magnetization (μB/f.u.) = 0.00
- VASP energy (Ry per atom) = -0.303